Record 1
This record from the Alexandria database describes a relaxed structure of Cr2Ru2Rh. The functional is PBE-GGA.

Summary:
E = -8.53 eV per atom
ΔE to the lowest computed polymorph = 0.352 eV per atom
DFT formation energy = 242 kJ/mol of formula units

```
Cr2Ru2Rh
1.0
3.629 0.000 0.000
0.000 3.629 0.000
1.814 1.814 5.558
Ru Cr Rh
2 2 1
direct
0.391 0.391 0.218
0.609 0.609 0.782
0.250 0.750 0.500
0.750 0.250 0.500
0.000 0.000 0.000
```

---

Record 2
This record from the Alexandria database describes a relaxed structure of Pm3Nd2Dy6Pu. The functional is PBE-GGA.

Summary:
E = -5.43 eV per atom
DFT formation energy = 51 kJ/mol of formula units

```
Pm3Nd2Dy6Pu
1.0
6.217 -0.003 -0.009
-3.110 5.384 -0.009
-1.023 -1.772 11.600
Pm Nd Dy Pu
3 2 6 1
direct
0.500 0.500 0.500
0.833 0.167 0.500
0.167 0.833 0.500
0.333 0.667 0.000
0.667 0.333 0.000
0.589 0.918 0.752
0.082 0.411 0.248
0.411 0.082 0.248
0.754 0.754 0.248
0.918 0.589 0.752
0.246 0.246 0.752
0.000 0.000 0.000
```

---

Record 3
This record from the Alexandria database describes a relaxed structure of La2HoEr2Tm2. The functional is PBE-GGA.

Summary:
E = -4.56 eV per atom
DFT formation energy = 59 kJ/mol of formula units

```
La2HoEr2Tm2
1.0
-1.007 -0.757 3.269
-3.488 -3.369 -3.732
4.932 -10.712 -0.962
Er Ho La Tm
2 1 2 2
direct
0.227 0.455 0.633
0.773 0.545 0.367
0.000 0.000 0.500
0.672 0.345 0.916
0.328 0.655 0.084
0.548 0.095 0.234
0.452 0.905 0.766
```

---

Record 4
This record from the Alexandria database describes a relaxed structure of BaCaTl2. The functional is PBE-GGA.

Summary:
E = -2.34 eV per atom
DFT formation energy = -68 kJ/mol of formula units

```
BaCaTl2
1.0
5.816 0.000 0.000
2.908 5.037 0.000
2.908 1.679 4.749
Tl Ca Ba
2 1 1
direct
0.250 0.250 0.250
0.000 0.000 0.000
0.750 0.750 0.750
0.500 0.500 0.500
```

---

Record 5
This record from the Alexandria database describes a relaxed structure of InSbRuI2. The functional is PBE-GGA.

Summary:
E = -3.62 eV per atom
ΔE to the lowest computed polymorph = 0.000 eV per atom
E_form (uncorrected) = 108 kJ/mol of formula units

```
InSbRuI2
1.0
5.695 0.000 0.000
0.000 5.695 0.000
0.000 0.000 4.995
Sb Ru I In
1 1 2 1
direct
0.000 0.000 0.500
0.000 0.000 0.000
0.500 0.000 0.000
0.000 0.500 0.000
0.500 0.500 0.500
```

---

Record 6
This record from the Alexandria database describes a relaxed structure of LiCa2Zn3Ge4. The functional is PBE-GGA.

Summary:
E = -3.19 eV per atom
DFT formation energy = -360 kJ/mol of formula units

```
LiCa2Zn3Ge4
1.0
4.231 0.000 0.000
0.000 4.231 0.000
0.000 0.000 10.975
Li Ge Zn Ca
1 4 3 2
direct
0.500 0.500 0.500
0.500 0.500 0.000
0.000 0.000 0.000
0.000 0.500 0.364
0.500 0.000 0.636
0.000 0.500 0.142
0.500 0.000 0.858
0.000 0.000 0.500
0.500 0.000 0.258
0.000 0.500 0.742
```

---

Record 7
This record from the Alexandria database describes a relaxed structure of Nd6Ge3P2Br. The functional is PBE-GGA.

Summary:
E = -5.72 eV per atom
E_form (uncorrected) = -1318 kJ/mol of formula units

```
Nd6Ge3P2Br
1.0
4.218 0.000 0.000
0.000 8.597 0.246
-2.109 -2.540 8.965
Nd Ge P Br
6 3 2 1
direct
0.997 0.732 0.994
0.671 0.094 0.343
0.003 0.268 0.006
0.331 0.424 0.662
0.329 0.906 0.657
0.669 0.576 0.338
0.837 0.167 0.673
0.500 0.500 0.000
0.163 0.833 0.327
0.834 0.668 0.667
0.166 0.332 0.333
0.500 0.000 0.000
```

---

Record 8
This record from the Alexandria database describes a relaxed structure of KWN3. The functional is PBE-GGA.

Summary:
E = -4.13 eV per atom
E_form (uncorrected) = 1772 kJ/mol of formula units

```
KWN3
1.0
3.925 0.000 0.000
0.000 3.925 0.000
0.000 0.000 3.925
N K W
3 1 1
direct
0.000 0.000 0.500
0.500 0.000 0.000
0.000 0.500 0.000
0.000 0.000 0.000
0.500 0.500 0.500
```

---

Record 9
This record from the Alexandria database describes a relaxed structure of RbHoMgI6. The functional is PBE-GGA.

Summary:
E = -3.12 eV per atom
E_form (uncorrected) = -1125 kJ/mol of formula units

```
RbHoMgI6
1.0
7.741 0.000 0.000
-3.870 6.704 0.000
0.000 0.000 16.506
Rb I Mg Ho
2 12 2 2
direct
0.000 0.000 0.500
0.000 0.000 0.000
0.993 0.368 0.645
0.368 0.375 0.355
0.375 0.007 0.645
0.375 0.368 0.855
0.625 0.632 0.145
0.007 0.375 0.145
0.632 0.007 0.855
0.625 0.993 0.355
0.632 0.625 0.645
0.368 0.993 0.145
0.993 0.625 0.855
0.007 0.632 0.355
0.667 0.333 0.750
0.333 0.667 0.250
0.333 0.667 0.750
0.667 0.333 0.250
```

---

Record 10
This record from the Alexandria database describes a relaxed structure of Dy2PuHg. The functional is PBE-GGA.

Summary:
E = -6.04 eV per atom
ΔE to the lowest computed polymorph = 0.064 eV per atom
DFT formation energy = -29 kJ/mol of formula units

```
Dy2PuHg
1.0
3.585 0.000 0.000
1.792 3.105 0.000
1.792 1.035 10.356
Dy Hg Pu
2 1 1
direct
0.078 0.078 0.767
0.256 0.256 0.233
0.667 0.667 0.000
0.500 0.500 0.500
```

---

Record 11
This record from the Alexandria database describes a relaxed structure of YSb3F. The functional is PBE-GGA.

Summary:
E = -4.79 eV per atom
ΔE to the lowest computed polymorph = 0.000 eV per atom
E_form (uncorrected) = -314 kJ/mol of formula units

```
YSb3F
1.0
-4.498 1.818 -0.985
0.427 -1.492 -4.701
-2.023 -4.356 1.199
Sb Y F
3 1 1
direct
0.500 0.000 0.000
0.000 0.500 0.000
0.000 0.000 0.500
0.500 0.500 0.500
0.000 0.000 0.000
```

---

Record 12
This record from the Alexandria database describes a relaxed structure of KLa3Br. The functional is PBE-GGA.

Summary:
E = -3.66 eV per atom
ΔE to the lowest computed polymorph = 0.000 eV per atom
E_form (uncorrected) = -71 kJ/mol of formula units

```
KLa3Br
1.0
-2.490 0.249 -5.323
-5.251 -1.119 2.404
-0.911 5.770 0.696
La Br K
3 1 1
direct
0.000 0.500 0.000
0.000 0.000 0.500
0.500 0.000 0.000
0.000 0.000 0.000
0.500 0.500 0.500
```

---

Record 13
This record from the Alexandria database describes a relaxed structure of YTa2Cl. The functional is PBE-GGA.

Summary:
E = -7.87 eV per atom
ΔE to the lowest computed polymorph = 0.323 eV per atom
E_form (uncorrected) = 52 kJ/mol of formula units

```
YTa2Cl
1.0
-3.210 3.746 0.669
-4.758 0.997 1.073
-0.985 1.467 6.218
Cl Ta Y
1 2 1
direct
0.680 0.680 0.720
0.060 0.060 0.069
0.298 0.298 0.167
0.461 0.461 0.543
```

---

Record 14
This record from the Alexandria database describes a relaxed structure of Mo4OsCl2. The functional is PBE-GGA.

Summary:
E = -6.78 eV per atom
E_form (uncorrected) = 1044 kJ/mol of formula units

```
Mo4OsCl2
1.0
4.803 0.000 0.000
0.000 4.803 0.000
2.402 2.402 6.203
Os Mo Cl
1 4 2
direct
0.000 0.000 0.000
0.000 0.500 0.000
0.500 0.000 0.000
0.799 0.799 0.402
0.201 0.201 0.598
0.391 0.391 0.218
0.609 0.609 0.782
```

---

Record 15
This record from the Alexandria database describes a relaxed structure of YZn2Ni. The functional is PBE-GGA.

Summary:
E = -3.87 eV per atom
DFT formation energy = -65 kJ/mol of formula units

```
YZn2Ni
1.0
3.909 0.000 0.000
0.000 3.911 0.000
0.000 0.000 4.639
Zn Y Ni
2 1 1
direct
0.500 0.500 0.000
0.000 0.000 0.000
0.000 0.500 0.500
0.500 0.000 0.500
```

---

Record 16
This record from the Alexandria database describes a relaxed structure of Cs12Te5S2. The functional is PBE-GGA.

Summary:
E = -2.75 eV per atom
E_form (uncorrected) = -1740 kJ/mol of formula units

```
Cs12Te5S2
1.0
8.794 0.000 0.000
-4.397 10.019 -3.167
0.000 0.174 12.733
Te Cs S
5 12 2
direct
0.669 0.339 0.843
0.308 0.615 0.658
0.331 0.661 0.157
0.692 0.385 0.342
0.000 0.000 0.500
0.419 0.349 0.101
0.929 0.349 0.101
0.931 0.862 0.199
0.898 0.309 0.564
0.589 0.691 0.436
0.071 0.651 0.899
0.511 0.022 0.197
0.102 0.691 0.436
0.489 0.978 0.803
0.581 0.651 0.899
0.411 0.309 0.564
0.069 0.138 0.801
0.878 0.000 0.000
0.122 0.000 0.000
```

---

Record 17
This record from the Alexandria database describes a relaxed structure of CsTl2RhSe. The functional is PBE-GGA.

Summary:
E = -2.24 eV per atom
E_form (uncorrected) = 505 kJ/mol of formula units

```
CsTl2RhSe
1.0
-4.785 -4.326 -0.448
2.247 -2.833 3.355
-3.200 3.050 4.719
Se Rh Tl Cs
1 1 2 1
direct
0.500 0.500 0.500
0.000 0.500 0.000
0.500 0.000 0.000
0.000 0.000 0.500
0.000 0.000 0.000
```

---

Record 18
This record from the Alexandria database describes a relaxed structure of HfFe4Rh. The functional is PBE-GGA.

Summary:
E = -8.76 eV per atom
DFT formation energy = -133 kJ/mol of formula units

```
HfFe4Rh
1.0
-2.217 3.914 1.806
-4.738 0.673 -0.770
-3.141 -0.468 3.662
Fe Hf Rh
4 1 1
direct
0.625 0.125 0.625
0.125 0.625 0.625
0.625 0.625 0.125
0.625 0.625 0.625
0.250 0.250 0.250
0.000 0.000 0.000
```

---

Record 19
This record from the Alexandria database describes a relaxed structure of Tm6BiAs2Se3. The functional is PBE-GGA.

Summary:
E = -5.69 eV per atom
E_form (uncorrected) = -1715 kJ/mol of formula units

```
Tm6BiAs2Se3
1.0
-2.289 -3.386 -0.360
6.803 -4.629 0.280
-1.168 2.339 8.798
Tm As Se Bi
6 2 3 1
direct
0.994 0.731 0.988
0.671 0.577 0.342
0.329 0.423 0.658
0.326 0.898 0.652
0.006 0.269 0.012
0.674 0.102 0.348
0.168 0.336 0.335
0.832 0.664 0.665
0.163 0.833 0.327
0.500 0.500 0.000
0.837 0.167 0.673
0.500 0.000 0.000
```

---

Record 20
This record from the Alexandria database describes a relaxed structure of AgIrAu2. The functional is PBE-GGA.

Summary:
E = -4.28 eV per atom
ΔE to the lowest computed polymorph = 0.069 eV per atom
DFT formation energy = 112 kJ/mol of formula units

```
AgIrAu2
1.0
5.750 0.008 0.002
2.953 4.934 -0.002
-3.635 -3.733 2.432
Ag Au Ir
1 2 1
direct
0.257 0.757 0.500
0.998 0.998 0.000
0.742 0.242 0.500
0.503 0.503 0.000
```